Entry 1:
Computed, not measured: As2AuBrN after structural relaxation at the GGA-PBE level of DFT. Values from VASP.

Properties
Distance to the lowest polymorph of the same formula, meV/atom: 644
Energy, eV for the cell shown: -14.3
Raw formation energy, meV per atom: 1658
Space group: P4/mmm

```
&SYSTEM
  ibrav = 0, nat = 5, ntyp = 4
/
ATOMIC_SPECIES
Br 79.90 Br.upf
N 14.01 N.upf
Au 196.97 Au.upf
As 74.92 As.upf
CELL_PARAMETERS angstrom
5.035 0.000 0.000
0.000 5.035 0.000
0.000 0.000 5.617
ATOMIC_POSITIONS crystal
Br 0.000 0.000 0.500
N 0.500 0.500 0.500
Au 0.000 0.000 0.000
As 0.000 0.500 0.000
As 0.500 0.000 0.000
```

Entry 2:
Computed, not measured: AsAuBr2N after structural relaxation at the GGA-PBE level of DFT. Values from VASP.

Properties
Distance to the lowest polymorph of the same formula, meV/atom: 619
Energy, eV for the cell shown: -10.8
Raw formation energy, meV per atom: 1756
Space group: P4/mmm

```
&SYSTEM
  ibrav = 0, nat = 5, ntyp = 4
/
ATOMIC_SPECIES
N 14.01 N.upf
Au 196.97 Au.upf
As 74.92 As.upf
Br 79.90 Br.upf
CELL_PARAMETERS angstrom
5.164 0.000 0.000
0.000 5.164 0.000
0.000 0.000 5.122
ATOMIC_POSITIONS crystal
N 0.500 0.500 0.500
Au 0.000 0.000 0.000
As 0.000 0.000 0.500
Br 0.000 0.500 0.000
Br 0.500 0.000 0.000
```

Entry 3:
Computed, not measured: As2AuBrN after structural relaxation at the GGA-PBE level of DFT. Values from VASP.

Properties
Distance to the lowest polymorph of the same formula, meV/atom: 0
Energy, eV for the cell shown: -17.5
Raw formation energy, meV per atom: 1014
Space group: P4/mmm

```
&SYSTEM
  ibrav = 0, nat = 5, ntyp = 4
/
ATOMIC_SPECIES
As 74.92 As.upf
Au 196.97 Au.upf
N 14.01 N.upf
Br 79.90 Br.upf
CELL_PARAMETERS angstrom
-1.033 -4.196 1.247
1.850 0.743 4.032
-3.901 1.415 1.529
ATOMIC_POSITIONS crystal
As 0.500 0.000 0.000
As 0.000 0.500 0.000
Au 0.500 0.500 0.500
N 0.000 0.000 0.000
Br 0.000 0.000 0.500
```

Entry 4:
Computed, not measured: As2AuBrN after structural relaxation at the GGA-PBE level of DFT. Values from VASP.

Properties
Distance to the lowest polymorph of the same formula, meV/atom: 629
Energy, eV for the cell shown: -14.4
Raw formation energy, meV per atom: 1643
Space group: P4/mmm

```
&SYSTEM
  ibrav = 0, nat = 5, ntyp = 4
/
ATOMIC_SPECIES
Br 79.90 Br.upf
N 14.01 N.upf
As 74.92 As.upf
Au 196.97 Au.upf
CELL_PARAMETERS angstrom
5.247 0.000 0.000
0.000 3.622 0.000
0.000 0.000 5.247
ATOMIC_POSITIONS crystal
Br 0.000 0.000 0.000
N 0.000 0.500 0.000
As 0.000 0.000 0.500
As 0.500 0.000 0.000
Au 0.500 0.500 0.500
```

Entry 5:
Computed, not measured: NaAs2AuBr after structural relaxation at the GGA-PBE level of DFT. Values from VASP.

Properties
Distance to the lowest polymorph of the same formula, meV/atom: 0
Energy, eV for the cell shown: -14.7
Raw formation energy, meV per atom: 179
Space group: P4/mmm

```
&SYSTEM
  ibrav = 0, nat = 5, ntyp = 4
/
ATOMIC_SPECIES
Br 79.90 Br.upf
As 74.92 As.upf
Au 196.97 Au.upf
Na 22.99 Na.upf
CELL_PARAMETERS angstrom
-1.396 -1.943 4.234
3.262 -3.563 -0.560
5.168 4.163 3.614
ATOMIC_POSITIONS crystal
Br 0.000 0.000 0.500
As 0.000 0.500 0.000
As 0.500 0.000 0.000
Au 0.000 0.000 0.000
Na 0.500 0.500 0.500
```

Entry 6:
Computed, not measured: Na2AsAuBr6 after structural relaxation at the GGA-PBE level of DFT. Values from VASP.

Properties
Energy, eV for the cell shown: -28.2
Raw formation energy, meV per atom: -755
Space group: P1

```
&SYSTEM
  ibrav = 0, nat = 10, ntyp = 4
/
ATOMIC_SPECIES
Na 22.99 Na.upf
Br 79.90 Br.upf
As 74.92 As.upf
Au 196.97 Au.upf
CELL_PARAMETERS angstrom
-6.726 0.975 -2.715
-4.518 -6.011 -2.294
-4.718 -3.630 5.233
ATOMIC_POSITIONS crystal
Na 0.636 0.502 0.394
Na 0.001 0.954 0.017
Br 0.040 0.507 0.250
Br 0.292 0.950 0.215
Br 0.984 0.464 0.800
Br 0.314 0.717 0.794
Br 0.611 0.170 0.781
Br 0.657 0.207 0.239
As 0.306 0.351 0.001
Au 0.821 0.839 0.524
```

Entry 7:
Computed, not measured: NaAsAuBr2 after structural relaxation at the GGA-PBE level of DFT. Values from VASP.

Properties
Distance to the lowest polymorph of the same formula, meV/atom: 0
Energy, eV for the cell shown: -13.2
Raw formation energy, meV per atom: -125
Space group: P4/mmm

```
&SYSTEM
  ibrav = 0, nat = 5, ntyp = 4
/
ATOMIC_SPECIES
Au 196.97 Au.upf
As 74.92 As.upf
Br 79.90 Br.upf
Na 22.99 Na.upf
CELL_PARAMETERS angstrom
5.679 0.000 0.000
0.000 4.912 0.000
0.000 0.000 5.679
ATOMIC_POSITIONS crystal
Au 0.000 0.000 0.000
As 0.000 0.500 0.000
Br 0.500 0.000 0.000
Br 0.000 0.000 0.500
Na 0.500 0.500 0.500
```

Entry 8:
Computed, not measured: NaAs2AuBr after structural relaxation at the GGA-PBE level of DFT. Values from VASP.

Properties
Distance to the lowest polymorph of the same formula, meV/atom: 760
Energy, eV for the cell shown: -10.9
Raw formation energy, meV per atom: 939
Space group: P4/mmm

```
&SYSTEM
  ibrav = 0, nat = 5, ntyp = 4
/
ATOMIC_SPECIES
Na 22.99 Na.upf
As 74.92 As.upf
Br 79.90 Br.upf
Au 196.97 Au.upf
CELL_PARAMETERS angstrom
-1.553 4.557 1.809
1.079 -1.534 4.789
4.734 1.807 -0.487
ATOMIC_POSITIONS crystal
Na 0.000 0.000 0.000
As 0.500 0.000 0.000
As 0.000 0.500 0.000
Br 0.000 0.000 0.500
Au 0.500 0.500 0.500
```

Entry 9:
Computed, not measured: NaAsAuBr2 after structural relaxation at the GGA-PBE level of DFT. Values from VASP.

Properties
Distance to the lowest polymorph of the same formula, meV/atom: 641
Energy, eV for the cell shown: -10.0
Raw formation energy, meV per atom: 517
Space group: P4/mmm

```
&SYSTEM
  ibrav = 0, nat = 5, ntyp = 4
/
ATOMIC_SPECIES
Br 79.90 Br.upf
Na 22.99 Na.upf
As 74.92 As.upf
Au 196.97 Au.upf
CELL_PARAMETERS angstrom
-4.286 -2.733 -1.497
2.836 -2.365 -3.801
1.377 -4.127 3.595
ATOMIC_POSITIONS crystal
Br 0.000 0.500 0.000
Br 0.500 0.000 0.000
Na 0.000 0.000 0.000
As 0.000 0.000 0.500
Au 0.500 0.500 0.500
```

Entry 10:
Computed, not measured: NbAsAuBr2 after structural relaxation at the GGA-PBE level of DFT. Values from VASP.

Properties
Distance to the lowest polymorph of the same formula, meV/atom: 0
Energy, eV for the cell shown: -20.1
Raw formation energy, meV per atom: 247
Space group: P4/mmm

```
&SYSTEM
  ibrav = 0, nat = 5, ntyp = 4
/
ATOMIC_SPECIES
Au 196.97 Au.upf
Br 79.90 Br.upf
Nb 92.91 Nb.upf
As 74.92 As.upf
CELL_PARAMETERS angstrom
-3.640 3.487 0.133
-3.445 -3.561 -0.935
-0.575 -0.797 5.153
ATOMIC_POSITIONS crystal
Au 0.500 0.500 0.500
Br 0.000 0.500 0.000
Br 0.500 0.000 0.000
Nb 0.000 0.000 0.000
As 0.000 0.000 0.500
```

Entry 11:
Computed, not measured: NbAsAuBr2 after structural relaxation at the GGA-PBE level of DFT. Values from VASP.

Properties
Distance to the lowest polymorph of the same formula, meV/atom: 725
Energy, eV for the cell shown: -16.5
Raw formation energy, meV per atom: 972
Space group: P4/mmm

```
&SYSTEM
  ibrav = 0, nat = 5, ntyp = 4
/
ATOMIC_SPECIES
As 74.92 As.upf
Nb 92.91 Nb.upf
Br 79.90 Br.upf
Au 196.97 Au.upf
CELL_PARAMETERS angstrom
5.179 0.000 0.000
0.000 5.179 0.000
0.000 0.000 5.143
ATOMIC_POSITIONS crystal
As 0.000 0.000 0.500
Nb 0.500 0.500 0.500
Br 0.000 0.500 0.000
Br 0.500 0.000 0.000
Au 0.000 0.000 0.000
```

Entry 12:
Computed, not measured: NiAs2AuBr after structural relaxation at the GGA-PBE level of DFT. Values from VASP.

Properties
Distance to the lowest polymorph of the same formula, meV/atom: 651
Energy, eV for the cell shown: -14.2
Raw formation energy, meV per atom: 1162
Space group: P4/mmm

```
&SYSTEM
  ibrav = 0, nat = 5, ntyp = 4
/
ATOMIC_SPECIES
As 74.92 As.upf
Ni 58.69 Ni.upf
Br 79.90 Br.upf
Au 196.97 Au.upf
CELL_PARAMETERS angstrom
5.029 0.000 0.000
0.000 5.029 0.000
0.000 0.000 5.292
ATOMIC_POSITIONS crystal
As 0.000 0.500 0.000
As 0.500 0.000 0.000
Ni 0.500 0.500 0.500
Br 0.000 0.000 0.500
Au 0.000 0.000 0.000
```

Computed theoretical density (g cm⁻³) in order:
5.1; 5.4; 8.2; 7.3; 4.2; 4.0; 4.8; 5.5; 4.8; 6.5; 6.3; 6.0
Computed volume (Å³ per cell) in order:
142.4; 136.6; 89.5; 99.7; 178.7; 333.6; 158.4; 134.6; 158.5; 133.4; 138.0; 133.8